# 1
Entry from Alexandria via LeMat-Bulk: a relaxed structure of PPb2Se (GGA-PBE).

Cell and atoms, written as extended XYZ:
```
4
Lattice="3.659 0.000 0.000 0.000 3.664 0.000 -0.414 0.000 7.475" Properties=species:S:1:pos:R:3 pbc="T T T"
P 0.000 0.000 0.000
Pb 1.507 1.832 5.682
Pb 1.738 1.832 1.793
Se -0.207 0.000 3.737
```

total moment: 0.0 μB per cell
symmetry: P2/m
ΔE to the lowest computed polymorph: 227 meV per atom
formation energy (no corrections): 0.088 eV per atom


# 2
Entry from Alexandria via LeMat-Bulk: a relaxed structure of Be3ReNi (GGA-PBE).

Cell and atoms, written as extended XYZ:
```
5
Lattice="4.166 0.000 0.000 0.000 4.166 0.000 0.000 0.000 4.166" Properties=species:S:1:pos:R:3 pbc="T T T"
Be 0.000 0.000 2.083
Be 0.000 2.083 0.000
Be 2.083 0.000 0.000
Re 0.000 0.000 0.000
Ni 2.083 2.083 2.083
```

total moment: 1.0 μB per cell
symmetry: Pm-3m
formation energy from the elements: 1.306 eV/atom
ΔE to the lowest computed polymorph: 674 meV per atom


# 3
Entry from Alexandria via LeMat-Bulk: a relaxed structure of InSb2Rh8 (GGA-PBE).

Cell and atoms, written as extended XYZ:
```
11
Lattice="-2.057 3.595 6.108 2.057 -3.595 6.108 2.057 3.595 -6.108" Properties=species:S:1:pos:R:3 pbc="T T T"
In 0.000 0.000 0.000
Sb 0.000 0.000 3.978
Sb 0.000 0.000 8.237
Rh 2.057 -1.721 4.059
Rh 2.057 0.000 1.895
Rh 2.057 1.990 0.000
Rh 0.000 1.874 2.049
Rh 2.057 1.721 4.059
Rh 0.000 1.605 6.108
Rh 0.000 3.595 4.213
Rh 0.000 5.316 2.049
```

total moment: 0.0 μB per cell
symmetry: Immm
formation energy (no corrections): -0.193 eV per atom


Question: Number 3 is which compound?
Answer: InSb2Rh8


Question: What is the total moment in the first record?
Answer: 0.0 μB per cell


Question: Which of these has the highest total moment?
Answer: Be3ReNi